# GGA-PBE BaLi2CaRh, relaxed
# spin magnetization = 0.0000 μB per atom
# energy of formation = 0.1 eV per formula unit
data_BaLi2CaRh
_symmetry_space_group_name_H-M 'P 1'
_symmetry_Int_Tables_number 1
_cell_length_a 5.2642
_cell_length_b 5.2642
_cell_length_c 5.2499
_cell_angle_alpha 90.00
_cell_angle_beta 90.00
_cell_angle_gamma 90.00
loop_
_symmetry_equiv_pos_as_xyz
'x,y,z'
loop_
_atom_site_label
_atom_site_type_symbol
_atom_site_fract_x
_atom_site_fract_y
_atom_site_fract_z
_atom_site_occupancy
Ba1 Ba 0.0000 0.0000 0.0000 1
Li1 Li 0.0000 0.5000 0.5000 1
Li2 Li 0.5000 0.0000 0.5000 1
Ca1 Ca 0.5000 0.5000 0.0000 1
Rh1 Rh 0.5000 0.5000 0.5000 1

=====

# GGA-PBE YMo2Pt, relaxed
# spin magnetization = 0.0000 μB per atom
# excess energy over the best structure of this formula in the dataset = 0.000 eV/f.u.
# energy of formation = -0.5 eV per formula unit
data_YMo2Pt
_symmetry_space_group_name_H-M 'P 1'
_symmetry_Int_Tables_number 1
_cell_length_a 3.3091
_cell_length_b 3.3091
_cell_length_c 6.7782
_cell_angle_alpha 90.00
_cell_angle_beta 90.00
_cell_angle_gamma 90.00
loop_
_symmetry_equiv_pos_as_xyz
'x,y,z'
loop_
_atom_site_label
_atom_site_type_symbol
_atom_site_fract_x
_atom_site_fract_y
_atom_site_fract_z
_atom_site_occupancy
Y1 Y 0.0000 0.0000 0.0000 1
Mo1 Mo 0.0000 0.0000 0.4895 1
Mo2 Mo 0.5000 0.5000 0.2982 1
Pt1 Pt 0.5000 0.5000 0.7367 1

=====

# GGA-PBE La3Sm3Tl2, relaxed
# spin magnetization = 0.0000 μB per atom
# excess energy over the best structure of this formula in the dataset = 0.725 eV/f.u.
# energy of formation = -1.0 eV per formula unit
data_La3Sm3Tl2
_symmetry_space_group_name_H-M 'P 1'
_symmetry_Int_Tables_number 1
_cell_length_a 6.7579
_cell_length_b 6.7579
_cell_length_c 16.2861
_cell_angle_alpha 90.00
_cell_angle_beta 90.00
_cell_angle_gamma 133.42
loop_
_symmetry_equiv_pos_as_xyz
'x,y,z'
loop_
_atom_site_label
_atom_site_type_symbol
_atom_site_fract_x
_atom_site_fract_y
_atom_site_fract_z
_atom_site_occupancy
La1 La 0.0430 0.9570 0.6088 1
La2 La 0.0430 0.9570 0.8912 1
La3 La 0.2849 0.7151 0.7500 1
La4 La 0.7151 0.2849 0.2500 1
La5 La 0.9570 0.0430 0.1088 1
La6 La 0.9570 0.0430 0.3912 1
Sm1 Sm 0.3665 0.6335 0.5366 1
Sm2 Sm 0.3665 0.6335 0.9634 1
Sm3 Sm 0.4369 0.5631 0.2500 1
Sm4 Sm 0.5631 0.4369 0.7500 1
Sm5 Sm 0.6335 0.3665 0.0366 1
Sm6 Sm 0.6335 0.3665 0.4634 1
Tl1 Tl 0.2302 0.7698 0.1282 1
Tl2 Tl 0.2302 0.7698 0.3718 1
Tl3 Tl 0.7698 0.2302 0.6282 1
Tl4 Tl 0.7698 0.2302 0.8718 1

=====

# GGA-PBE TbY3Pu2S6, relaxed
# spin magnetization = 0.9568 μB per atom
# raw formation energy = -23.4 eV per formula unit
data_TbY3Pu2S6
_symmetry_space_group_name_H-M 'P 1'
_symmetry_Int_Tables_number 1
_cell_length_a 6.7974
_cell_length_b 6.7974
_cell_length_c 6.8321
_cell_angle_alpha 99.53
_cell_angle_beta 99.53
_cell_angle_gamma 120.03
loop_
_symmetry_equiv_pos_as_xyz
'x,y,z'
loop_
_atom_site_label
_atom_site_type_symbol
_atom_site_fract_x
_atom_site_fract_y
_atom_site_fract_z
_atom_site_occupancy
Tb1 Tb 0.0000 0.0000 0.0000 1
Y1 Y 0.1668 0.8332 0.5000 1
Y2 Y 0.5000 0.5000 0.5000 1
Y3 Y 0.8332 0.1668 0.5000 1
Pu1 Pu 0.3334 0.6666 0.0000 1
Pu2 Pu 0.6666 0.3334 0.0000 1
S1 S 0.0840 0.4170 0.2519 1
S2 S 0.2487 0.2487 0.7471 1
S3 S 0.4170 0.0840 0.2519 1
S4 S 0.5830 0.9160 0.7481 1
S5 S 0.7513 0.7513 0.2529 1
S6 S 0.9160 0.5830 0.7481 1

=====

# GGA-PBE AcNpTi2O8, relaxed
# spin magnetization = 0.1667 μB per atom
# raw formation energy = -36.5 eV per formula unit
data_AcNpTi2O8
_symmetry_space_group_name_H-M 'P 1'
_symmetry_Int_Tables_number 1
_cell_length_a 5.0574
_cell_length_b 5.0651
_cell_length_c 7.5117
_cell_angle_alpha 81.77
_cell_angle_beta 81.78
_cell_angle_gamma 78.34
loop_
_symmetry_equiv_pos_as_xyz
'x,y,z'
loop_
_atom_site_label
_atom_site_type_symbol
_atom_site_fract_x
_atom_site_fract_y
_atom_site_fract_z
_atom_site_occupancy
Ac1 Ac 0.0000 0.0000 0.0000 1
Np1 Np 0.0000 0.0000 0.5000 1
Ti1 Ti 0.4374 0.4370 0.2131 1
Ti2 Ti 0.5626 0.5630 0.7869 1
O1 O 0.2242 0.7681 0.2698 1
O2 O 0.2299 0.7733 0.7308 1
O3 O 0.2550 0.2522 0.4264 1
O4 O 0.3353 0.3324 0.0153 1
O5 O 0.6647 0.6676 0.9847 1
O6 O 0.7450 0.7478 0.5736 1
O7 O 0.7701 0.2267 0.2692 1
O8 O 0.7758 0.2319 0.7302 1

=====

# GGA-PBE Cs2HgPd2, relaxed
# spin magnetization = 0.0000 μB per atom
# excess energy over the best structure of this formula in the dataset = 0.000 eV/f.u.
# energy of formation = -0.9 eV per formula unit
data_Cs2HgPd2
_symmetry_space_group_name_H-M 'P 1'
_symmetry_Int_Tables_number 1
_cell_length_a 11.1187
_cell_length_b 11.1187
_cell_length_c 11.1187
_cell_angle_alpha 25.01
_cell_angle_beta 25.01
_cell_angle_gamma 25.01
loop_
_symmetry_equiv_pos_as_xyz
'x,y,z'
loop_
_atom_site_label
_atom_site_type_symbol
_atom_site_fract_x
_atom_site_fract_y
_atom_site_fract_z
_atom_site_occupancy
Cs1 Cs 0.0766 0.0766 0.0766 1
Cs2 Cs 0.9234 0.9234 0.9234 1
Hg1 Hg 0.5000 0.5000 0.5000 1
Pd1 Pd 0.1748 0.1748 0.1748 1
Pd2 Pd 0.8252 0.8252 0.8252 1

=====

# GGA-PBE Pm3P2Rh9, relaxed
# spin magnetization = 0.0000 μB per atom
# energy of formation = -10.8 eV per formula unit
data_Pm3P2Rh9
_symmetry_space_group_name_H-M 'P 1'
_symmetry_Int_Tables_number 1
_cell_length_a 6.0534
_cell_length_b 6.0534
_cell_length_c 15.2143
_cell_angle_alpha 90.00
_cell_angle_beta 90.00
_cell_angle_gamma 120.00
loop_
_symmetry_equiv_pos_as_xyz
'x,y,z'
loop_
_atom_site_label
_atom_site_type_symbol
_atom_site_fract_x
_atom_site_fract_y
_atom_site_fract_z
_atom_site_occupancy
Pm1 Pm 0.0000 0.0000 0.2500 1
Pm2 Pm 0.0000 0.0000 0.7500 1
Pm3 Pm 0.3333 0.6667 0.0790 1
Pm4 Pm 0.3333 0.6667 0.4210 1
Pm5 Pm 0.6667 0.3333 0.5790 1
Pm6 Pm 0.6667 0.3333 0.9210 1
P1 P 0.3333 0.6667 0.6515 1
P2 P 0.3333 0.6667 0.8485 1
P3 P 0.6667 0.3333 0.1515 1
P4 P 0.6667 0.3333 0.3485 1
Rh1 Rh 0.0035 0.5018 0.2500 1
Rh2 Rh 0.1525 0.3050 0.5766 1
Rh3 Rh 0.1525 0.3050 0.9234 1
Rh4 Rh 0.1525 0.8475 0.5766 1
Rh5 Rh 0.1525 0.8475 0.9234 1
Rh6 Rh 0.3050 0.1525 0.0766 1
Rh7 Rh 0.3050 0.1525 0.4234 1
Rh8 Rh 0.4982 0.5018 0.2500 1
Rh9 Rh 0.4982 0.9965 0.2500 1
Rh10 Rh 0.5018 0.0035 0.7500 1
Rh11 Rh 0.5018 0.4982 0.7500 1
Rh12 Rh 0.6950 0.8475 0.5766 1
Rh13 Rh 0.6950 0.8475 0.9234 1
Rh14 Rh 0.8475 0.1525 0.0766 1
Rh15 Rh 0.8475 0.1525 0.4234 1
Rh16 Rh 0.8475 0.6950 0.0766 1
Rh17 Rh 0.8475 0.6950 0.4234 1
Rh18 Rh 0.9965 0.4982 0.7500 1

=====

# GGA-PBE KRuPt2, relaxed
# spin magnetization = 0.3784 μB per atom
# excess energy over the best structure of this formula in the dataset = 1.254 eV/f.u.
# energy of formation = 1.9 eV per formula unit
data_KRuPt2
_symmetry_space_group_name_H-M 'P 1'
_symmetry_Int_Tables_number 1
_cell_length_a 6.0953
_cell_length_b 6.0953
_cell_length_c 6.0953
_cell_angle_alpha 154.06
_cell_angle_beta 130.72
_cell_angle_gamma 56.53
loop_
_symmetry_equiv_pos_as_xyz
'x,y,z'
loop_
_atom_site_label
_atom_site_type_symbol
_atom_site_fract_x
_atom_site_fract_y
_atom_site_fract_z
_atom_site_occupancy
K1 K 0.0000 0.0000 0.0000 1
Ru1 Ru 0.7163 0.2163 0.5000 1
Pt1 Pt 0.2810 0.7810 0.5000 1
Pt2 Pt 0.5070 0.5070 0.0000 1

=====

# GGA-PBE LaNbSi3, relaxed
# spin magnetization = 0.4866 μB per atom
# raw formation energy = 8.8 eV per formula unit
data_LaNbSi3
_symmetry_space_group_name_H-M 'P 1'
_symmetry_Int_Tables_number 1
_cell_length_a 5.2025
_cell_length_b 5.2025
_cell_length_c 5.2025
_cell_angle_alpha 90.00
_cell_angle_beta 90.00
_cell_angle_gamma 90.00
loop_
_symmetry_equiv_pos_as_xyz
'x,y,z'
loop_
_atom_site_label
_atom_site_type_symbol
_atom_site_fract_x
_atom_site_fract_y
_atom_site_fract_z
_atom_site_occupancy
La1 La 0.0000 0.0000 0.0000 1
Nb1 Nb 0.5000 0.5000 0.5000 1
Si1 Si 0.0000 0.0000 0.5000 1
Si2 Si 0.0000 0.5000 0.0000 1
Si3 Si 0.5000 0.0000 0.0000 1

=====

# GGA-PBE RbSrI3, relaxed
# spin magnetization = 0.0000 μB per atom
# raw formation energy = -4.5 eV per formula unit
data_RbSrI3
_symmetry_space_group_name_H-M 'P 1'
_symmetry_Int_Tables_number 1
_cell_length_a 6.4949
_cell_length_b 6.4949
_cell_length_c 6.4949
_cell_angle_alpha 90.00
_cell_angle_beta 90.00
_cell_angle_gamma 90.00
loop_
_symmetry_equiv_pos_as_xyz
'x,y,z'
loop_
_atom_site_label
_atom_site_type_symbol
_atom_site_fract_x
_atom_site_fract_y
_atom_site_fract_z
_atom_site_occupancy
Rb1 Rb 0.0000 0.0000 0.0000 1
Sr1 Sr 0.5000 0.5000 0.5000 1
I1 I 0.0000 0.0000 0.5000 1
I2 I 0.0000 0.5000 0.0000 1
I3 I 0.5000 0.0000 0.0000 1

=====

# GGA-PBE Mn2CrSe, relaxed
# spin magnetization = 0.8008 μB per atom
# raw formation energy = 0.6 eV per formula unit
data_Mn2CrSe
_symmetry_space_group_name_H-M 'P 1'
_symmetry_Int_Tables_number 1
_cell_length_a 3.3143
_cell_length_b 3.3143
_cell_length_c 5.3577
_cell_angle_alpha 90.00
_cell_angle_beta 90.00
_cell_angle_gamma 90.00
loop_
_symmetry_equiv_pos_as_xyz
'x,y,z'
loop_
_atom_site_label
_atom_site_type_symbol
_atom_site_fract_x
_atom_site_fract_y
_atom_site_fract_z
_atom_site_occupancy
Mn1 Mn 0.0000 0.0000 0.0000 1
Mn2 Mn 0.5000 0.5000 0.2616 1
Cr1 Cr 0.5000 0.5000 0.7888 1
Se1 Se 0.0000 0.0000 0.4960 1

=====

> What is the formula in the sixth record?

Cs2HgPd2

=====

> What is the spin magnetization in the first record?

0.0000 μB per atom

=====

> The highest spin magnetization belongs to which entry?

TbY3Pu2S6